A relaxed structure of MgCrIn2, computed with PBE.

Calculated values
- raw total energy (eV/atom) = -3.727
- SG = I-42d
- V (Å³/atom) = 24.0
- density of states at the Fermi level (states/eV per atom) = 0.63

```
data_MgCrIn2
_space_group_name_H-M_alt 'P 1'
_space_group_IT_number 1
_cell_length_a 7.968
_cell_length_b 7.968
_cell_length_c 6.052
_cell_angle_alpha 90.00
_cell_angle_beta 90.00
_cell_angle_gamma 90.00
loop_
_space_group_symop_operation_xyz
'x,y,z'
loop_
_atom_site_label
_atom_site_type_symbol
_atom_site_fract_x
_atom_site_fract_y
_atom_site_fract_z
_atom_site_occupancy
Mg1 Mg 0.000 0.000 0.000 1
Mg2 Mg 0.000 0.500 0.250 1
Mg3 Mg 0.500 0.000 0.750 1
Mg4 Mg 0.500 0.500 0.500 1
Cr1 Cr 0.000 0.000 0.500 1
Cr2 Cr 0.000 0.500 0.750 1
Cr3 Cr 0.500 0.000 0.250 1
Cr4 Cr 0.500 0.500 0.000 1
In1 In 0.231 0.750 0.625 1
In2 In 0.250 0.231 0.375 1
In3 In 0.250 0.269 0.875 1
In4 In 0.269 0.750 0.125 1
In5 In 0.731 0.250 0.125 1
In6 In 0.750 0.731 0.875 1
In7 In 0.750 0.769 0.375 1
In8 In 0.769 0.250 0.625 1
```



A relaxed structure of Pr2ZnSb3Ir4, computed with PBE.

Calculated values
- raw total energy (eV/atom) = -6.462
- energy relative to the elements, uncorrected (eV per formula unit) = -5.98
- SG = P-4m2
- V (Å³/atom) = 21.1
- density of states at the Fermi level (states/eV per atom) = 0.42

```
data_Pr2ZnSb3Ir4
_space_group_name_H-M_alt 'P 1'
_space_group_IT_number 1
_cell_length_a 4.382
_cell_length_b 4.382
_cell_length_c 10.973
_cell_angle_alpha 90.00
_cell_angle_beta 90.00
_cell_angle_gamma 90.00
loop_
_space_group_symop_operation_xyz
'x,y,z'
loop_
_atom_site_label
_atom_site_type_symbol
_atom_site_fract_x
_atom_site_fract_y
_atom_site_fract_z
_atom_site_occupancy
Pr1 Pr 0.000 0.500 0.241 1
Pr2 Pr 0.500 0.000 0.759 1
Zn1 Zn 0.500 0.500 0.000 1
Sb1 Sb 0.000 0.000 0.000 1
Sb2 Sb 0.000 0.500 0.637 1
Sb3 Sb 0.500 0.000 0.363 1
Ir1 Ir 0.000 0.000 0.500 1
Ir2 Ir 0.000 0.500 0.870 1
Ir3 Ir 0.500 0.000 0.130 1
Ir4 Ir 0.500 0.500 0.500 1
```



A relaxed structure of BeTl2Ga, computed with PBE.

Calculated values
- raw total energy (eV/atom) = -2.340
- SG = Fm-3m
- V (Å³/atom) = 22.6
- density of states at the Fermi level (states/eV per atom) = 0.60

```
data_BeTl2Ga
_space_group_name_H-M_alt 'P 1'
_space_group_IT_number 1
_cell_length_a 7.127
_cell_length_b 7.127
_cell_length_c 7.127
_cell_angle_alpha 90.00
_cell_angle_beta 90.00
_cell_angle_gamma 90.00
loop_
_space_group_symop_operation_xyz
'x,y,z'
loop_
_atom_site_label
_atom_site_type_symbol
_atom_site_fract_x
_atom_site_fract_y
_atom_site_fract_z
_atom_site_occupancy
Be1 Be 0.000 0.000 0.000 1
Be2 Be 0.000 0.500 0.500 1
Be3 Be 0.500 0.000 0.500 1
Be4 Be 0.500 0.500 0.000 1
Tl1 Tl 0.250 0.250 0.250 1
Tl2 Tl 0.250 0.250 0.750 1
Tl3 Tl 0.250 0.750 0.250 1
Tl4 Tl 0.250 0.750 0.750 1
Tl5 Tl 0.750 0.250 0.250 1
Tl6 Tl 0.750 0.250 0.750 1
Tl7 Tl 0.750 0.750 0.250 1
Tl8 Tl 0.750 0.750 0.750 1
Ga1 Ga 0.000 0.000 0.500 1
Ga2 Ga 0.000 0.500 0.000 1
Ga3 Ga 0.500 0.000 0.000 1
Ga4 Ga 0.500 0.500 0.500 1
```



A relaxed structure of Tl2In12Sn7, computed with PBE.

Calculated values
- raw total energy (eV/atom) = -3.070
- SG = P-6
- V (Å³/atom) = 29.5
- density of states at the Fermi level (states/eV per atom) = 0.42

```
data_Tl2In12Sn7
_space_group_name_H-M_alt 'P 1'
_space_group_IT_number 1
_cell_length_a 12.858
_cell_length_b 12.858
_cell_length_c 4.331
_cell_angle_alpha 90.00
_cell_angle_beta 90.00
_cell_angle_gamma 120.00
loop_
_space_group_symop_operation_xyz
'x,y,z'
loop_
_atom_site_label
_atom_site_type_symbol
_atom_site_fract_x
_atom_site_fract_y
_atom_site_fract_z
_atom_site_occupancy
Tl1 Tl 0.000 0.000 0.000 1
Tl2 Tl 0.333 0.667 0.500 1
In1 In 0.047 0.278 0.500 1
In2 In 0.114 0.719 0.000 1
In3 In 0.231 0.953 0.500 1
In4 In 0.281 0.395 0.000 1
In5 In 0.396 0.170 0.000 1
In6 In 0.527 0.420 0.500 1
In7 In 0.580 0.106 0.500 1
In8 In 0.605 0.886 0.000 1
In9 In 0.722 0.769 0.500 1
In10 In 0.774 0.604 0.000 1
In11 In 0.830 0.226 0.000 1
In12 In 0.894 0.473 0.500 1
Sn1 Sn 0.082 0.470 0.000 1
Sn2 Sn 0.241 0.203 0.500 1
Sn3 Sn 0.388 0.918 0.000 1
Sn4 Sn 0.530 0.612 0.000 1
Sn5 Sn 0.667 0.333 0.000 1
Sn6 Sn 0.797 0.038 0.500 1
Sn7 Sn 0.962 0.759 0.500 1
```



A relaxed structure of Na2HgH3Pt, computed with PBE.

Calculated values
- raw total energy (eV/atom) = -2.778
- SG = Immm
- V (Å³/atom) = 17.3
- density of states at the Fermi level (states/eV per atom) = 0.22

```
data_Na2HgH3Pt
_space_group_name_H-M_alt 'P 1'
_space_group_IT_number 1
_cell_length_a 3.578
_cell_length_b 5.391
_cell_length_c 12.561
_cell_angle_alpha 90.00
_cell_angle_beta 90.00
_cell_angle_gamma 90.00
loop_
_space_group_symop_operation_xyz
'x,y,z'
loop_
_atom_site_label
_atom_site_type_symbol
_atom_site_fract_x
_atom_site_fract_y
_atom_site_fract_z
_atom_site_occupancy
Na1 Na 0.000 0.000 0.190 1
Na2 Na 0.000 0.000 0.810 1
Na3 Na 0.500 0.500 0.310 1
Na4 Na 0.500 0.500 0.690 1
Hg1 Hg 0.000 0.500 0.500 1
Hg2 Hg 0.500 0.000 0.000 1
H1 H 0.000 0.000 0.366 1
H2 H 0.000 0.000 0.634 1
H3 H 0.000 0.500 0.000 1
H4 H 0.500 0.000 0.500 1
H5 H 0.500 0.500 0.134 1
H6 H 0.500 0.500 0.866 1
Pt1 Pt 0.000 0.000 0.500 1
Pt2 Pt 0.500 0.500 0.000 1
```



A relaxed structure of TbCeCo2H8, computed with PBE.

Calculated values
- raw total energy (eV/atom) = -4.576
- SG = R-3m
- V (Å³/atom) = 8.7
- density of states at the Fermi level (states/eV per atom) = 0.21

```
data_TbCeCo2H8
_space_group_name_H-M_alt 'P 1'
_space_group_IT_number 1
_cell_length_a 6.593
_cell_length_b 6.593
_cell_length_c 6.593
_cell_angle_alpha 39.57
_cell_angle_beta 39.57
_cell_angle_gamma 39.57
loop_
_space_group_symop_operation_xyz
'x,y,z'
loop_
_atom_site_label
_atom_site_type_symbol
_atom_site_fract_x
_atom_site_fract_y
_atom_site_fract_z
_atom_site_occupancy
Tb1 Tb 0.000 0.000 0.000 1
Ce1 Ce 0.500 0.500 0.500 1
Co1 Co 0.229 0.229 0.229 1
Co2 Co 0.771 0.771 0.771 1
H1 H 0.072 0.550 0.550 1
H2 H 0.138 0.138 0.138 1
H3 H 0.450 0.450 0.928 1
H4 H 0.450 0.928 0.450 1
H5 H 0.550 0.072 0.550 1
H6 H 0.550 0.550 0.072 1
H7 H 0.862 0.862 0.862 1
H8 H 0.928 0.450 0.450 1
```



A relaxed structure of CaHg3Os, computed with PBE.

Calculated values
- raw total energy (eV/atom) = -2.484
- SG = Pm-3m
- V (Å³/atom) = 28.6
- density of states at the Fermi level (states/eV per atom) = 0.60

```
data_CaHg3Os
_space_group_name_H-M_alt 'P 1'
_space_group_IT_number 1
_cell_length_a 5.228
_cell_length_b 5.228
_cell_length_c 5.228
_cell_angle_alpha 90.00
_cell_angle_beta 90.00
_cell_angle_gamma 90.00
loop_
_space_group_symop_operation_xyz
'x,y,z'
loop_
_atom_site_label
_atom_site_type_symbol
_atom_site_fract_x
_atom_site_fract_y
_atom_site_fract_z
_atom_site_occupancy
Ca1 Ca 0.000 0.000 0.000 1
Hg1 Hg 0.000 0.500 0.500 1
Hg2 Hg 0.500 0.000 0.500 1
Hg3 Hg 0.500 0.500 0.000 1
Os1 Os 0.500 0.500 0.500 1
```



A relaxed structure of Pm6Si2Pb, computed with PBE.

Calculated values
- raw total energy (eV/atom) = -5.307
- energy relative to the elements, uncorrected (eV per formula unit) = -4.70
- SG = Immm
- V (Å³/atom) = 28.8
- density of states at the Fermi level (states/eV per atom) = 0.89

```
data_Pm6Si2Pb
_space_group_name_H-M_alt 'P 1'
_space_group_IT_number 1
_cell_length_a 8.780
_cell_length_b 8.780
_cell_length_c 8.780
_cell_angle_alpha 112.82
_cell_angle_beta 110.37
_cell_angle_gamma 105.31
loop_
_space_group_symop_operation_xyz
'x,y,z'
loop_
_atom_site_label
_atom_site_type_symbol
_atom_site_fract_x
_atom_site_fract_y
_atom_site_fract_z
_atom_site_occupancy
Pm1 Pm 0.029 0.238 0.791 1
Pm2 Pm 0.189 0.280 0.469 1
Pm3 Pm 0.189 0.720 0.909 1
Pm4 Pm 0.319 0.023 0.704 1
Pm5 Pm 0.319 0.615 0.296 1
Pm6 Pm 0.447 0.238 0.209 1
Pm7 Pm 0.553 0.762 0.791 1
Pm8 Pm 0.681 0.385 0.704 1
Pm9 Pm 0.681 0.977 0.296 1
Pm10 Pm 0.811 0.280 0.091 1
Pm11 Pm 0.811 0.720 0.531 1
Pm12 Pm 0.971 0.762 0.209 1
Si1 Si 0.112 0.612 0.500 1
Si2 Si 0.377 0.000 0.377 1
Si3 Si 0.623 0.000 0.623 1
Si4 Si 0.888 0.388 0.500 1
Pb1 Pb 0.000 0.000 0.000 1
Pb2 Pb 0.500 0.500 0.000 1
```